# 1
# La2CdC PBE optimized geometry
# M_tot: 0.000 μB per atom
# N(E_F): 1.061 states/eV per atom
# E_form: 0.558 eV per atom
# E_tot: -17.764 eV/cell
data_La2CdC
_chemical_formula_sum 'La2 Cd1 C1'
_cell_length_a 5.1510
_cell_length_b 5.1510
_cell_length_c 5.1510
_cell_angle_alpha 60.00
_cell_angle_beta 60.00
_cell_angle_gamma 60.00
_symmetry_space_group_name_H-M 'P 1'
_symmetry_Int_Tables_number 1
loop_
_symmetry_equiv_pos_as_xyz
'x,y,z'
loop_
_atom_site_label
_atom_site_fract_x
_atom_site_fract_y
_atom_site_fract_z
_atom_site_occupancy
C1 0.0000 0.0000 0.0000 1
Cd1 0.5000 0.5000 0.5000 1
La1 0.2500 0.2500 0.2500 1
La2 0.7500 0.7500 0.7500 1



# 2
# LaCd2C PBE optimized geometry
# M_tot: 0.000 μB per atom
# N(E_F): 0.694 states/eV per atom
# E_form: 0.472 eV per atom
# E_tot: -28.186 eV/cell
data_LaCd2C
_chemical_formula_sum 'La2 Cd4 C2'
_cell_length_a 8.4553
_cell_length_b 8.4553
_cell_length_c 6.4971
_cell_angle_alpha 49.41
_cell_angle_beta 49.41
_cell_angle_gamma 90.00
_symmetry_space_group_name_H-M 'P 1'
_symmetry_Int_Tables_number 1
loop_
_symmetry_equiv_pos_as_xyz
'x,y,z'
loop_
_atom_site_label
_atom_site_fract_x
_atom_site_fract_y
_atom_site_fract_z
_atom_site_occupancy
C1 0.5000 0.5000 0.0000 1
C2 0.2500 0.7500 0.5000 1
Cd1 0.2078 0.1250 0.2500 1
Cd2 0.5422 0.6250 0.2500 1
Cd3 0.3750 0.7922 0.7500 1
Cd4 0.8750 0.4578 0.7500 1
La1 0.0000 0.0000 0.0000 1
La2 0.7500 0.2500 0.5000 1



# 3
# La3CdC PBE optimized geometry
# M_tot: 0.000 μB per atom
# N(E_F): 1.287 states/eV per atom
# E_form: -0.172 eV per atom
# E_tot: -25.779 eV/cell
data_La3CdC
_chemical_formula_sum 'La3 Cd1 C1'
_cell_length_a 5.2404
_cell_length_b 5.2404
_cell_length_c 5.2404
_cell_angle_alpha 90.00
_cell_angle_beta 90.00
_cell_angle_gamma 90.00
_symmetry_space_group_name_H-M 'P 1'
_symmetry_Int_Tables_number 1
loop_
_symmetry_equiv_pos_as_xyz
'x,y,z'
loop_
_atom_site_label
_atom_site_fract_x
_atom_site_fract_y
_atom_site_fract_z
_atom_site_occupancy
C1 0.0000 0.0000 0.0000 1
Cd1 0.5000 0.5000 0.5000 1
La1 0.0000 0.5000 0.0000 1
La2 0.0000 0.0000 0.5000 1
La3 0.5000 0.0000 0.0000 1